[1]
First-principles (PBE) data for a geometry-optimized YHgBi2 structure, as listed in Alexandria.

Properties
**Uncorrected energy**: -16.1 eV for the cell shown
**Energy relative to the elements**: -0.38 eV/atom

Cell lengths 4.8547, 4.8349, 4.8349 Å; angles 90.00, 90.00, 90.00 degrees
Positions (direct):
Hg1 0.5000 0.0000 0.0000
Bi1 0.0000 0.5000 0.0000
Bi2 0.0000 0.0000 0.5000
Y1 0.5000 0.5000 0.5000

[2]
First-principles (PBE) data for a geometry-optimized YHg2Bi2 structure, as listed in Alexandria.

Properties
**Uncorrected energy**: -14.7 eV for the cell shown
**Distance to the lowest polymorph of the same formula**: 261 meV/atom
**Energy relative to the elements**: 0.02 eV/atom

Cell lengths 4.5409, 4.5409, 8.0488 Å; angles 73.62, 73.62, 90.00 degrees
Positions (direct):
Y1 0.0000 0.0000 0.0000
Hg1 0.5940 0.5940 0.8121
Hg2 0.4060 0.4060 0.1879
Bi1 0.7500 0.2500 0.5000
Bi2 0.2500 0.7500 0.5000

[3]
First-principles (PBE) data for a geometry-optimized YHgBi2 structure, as listed in Alexandria.

Properties
**Uncorrected energy**: -16.1 eV for the cell shown
**Energy relative to the elements**: -0.39 eV/atom

Cell lengths 4.2476, 4.2476, 6.5940 Å; angles 90.00, 90.00, 90.00 degrees
Positions (direct):
Hg1 0.5000 0.5000 0.5000
Bi1 0.0000 0.0000 0.2321
Bi2 0.0000 0.0000 0.7679
Y1 0.5000 0.5000 0.0000

[4]
First-principles (PBE) data for a geometry-optimized YHgBi structure, as listed in Alexandria.

Properties
**Uncorrected energy**: -11.9 eV for the cell shown
**Distance to the lowest polymorph of the same formula**: 31 meV/atom
**Energy relative to the elements**: -0.42 eV/atom

Cell lengths 5.1922, 5.1922, 5.1922 Å; angles 60.00, 60.00, 60.00 degrees
Positions (direct):
Hg1 0.5000 0.5000 0.5000
Y1 0.2500 0.2500 0.2500
Bi1 0.0000 0.0000 0.0000

[5]
First-principles (PBE) data for a geometry-optimized YHgBi2 structure, as listed in Alexandria.

Properties
**Uncorrected energy**: -14.9 eV for the cell shown
**Energy relative to the elements**: -0.10 eV/atom

Cell lengths 4.5412, 4.5412, 9.5214 Å; angles 76.20, 76.20, 60.00 degrees
Positions (direct):
Y1 0.5000 0.5000 0.5000
Bi1 0.1028 0.1028 0.6915
Hg1 0.0000 0.0000 0.0000
Bi2 0.8972 0.8972 0.3085

[6]
First-principles (PBE) data for a geometry-optimized Zn4HgBi2 structure, as listed in Alexandria.

Properties
**Uncorrected energy**: -10.6 eV for the cell shown
**Energy relative to the elements**: 0.37 eV/atom

Cell lengths 5.2338, 5.2338, 8.0185 Å; angles 70.95, 70.95, 90.00 degrees
Positions (direct):
Bi1 0.3782 0.3782 0.2436
Zn1 0.8139 0.8139 0.3721
Zn2 0.5000 0.0000 0.0000
Zn3 0.1861 0.1861 0.6279
Bi2 0.6218 0.6218 0.7564
Zn4 0.0000 0.5000 0.0000
Hg1 0.0000 0.0000 0.0000

[7]
First-principles (PBE) data for a geometry-optimized Zn3Hg12Bi5 structure, as listed in Alexandria.

Properties
**Uncorrected energy**: -93.3 eV for the cell shown
**Energy relative to the elements**: 0.18 eV/atom

Cell lengths 14.7368, 14.7368, 14.7368 Å; angles 109.47, 109.47, 109.47 degrees
Positions (direct):
Bi1 0.6250 0.7500 0.8750
Zn1 0.3750 0.7500 0.6250
Hg1 0.3264 0.7535 0.3819
Hg2 0.9445 0.8264 0.5730
Hg3 0.0730 0.6284 0.7465
Bi2 0.5000 0.5000 0.0000
Bi3 0.8750 0.6250 0.7500
Bi4 0.2500 0.3750 0.6250
Hg4 0.4445 0.3716 0.6181
Zn2 0.8750 0.1250 0.2500
Hg5 0.1736 0.1181 0.7465
Hg6 0.8264 0.9445 0.0730
Bi5 0.5000 0.5000 0.5000
Hg7 0.1181 0.9445 0.3716
Zn3 0.1250 0.2500 0.8750
Hg8 0.0555 0.8819 0.1284
Bi6 0.5000 0.0000 0.0000
Zn4 0.7500 0.8750 0.6250
Hg9 0.8819 0.0555 0.6284
Bi7 0.0000 0.0000 0.0000
Hg10 0.4270 0.7535 0.8716
Zn5 0.6250 0.2500 0.3750
Hg11 0.1284 0.3819 0.0555
Bi8 0.2500 0.8750 0.1250
Hg12 0.0730 0.4445 0.8264
Bi9 0.3750 0.2500 0.1250
Hg13 0.3819 0.1284 0.5555
Hg14 0.4270 0.6736 0.0555
Bi10 0.7500 0.6250 0.3750
Zn6 0.2500 0.1250 0.3750
Hg15 0.9270 0.3716 0.2535
Hg16 0.4445 0.0730 0.3264
Hg17 0.5555 0.9270 0.6736
Zn7 0.1250 0.8750 0.7500
Hg18 0.6181 0.8716 0.4445
Hg19 0.6736 0.2465 0.6181
Hg20 0.3819 0.2535 0.3264
Hg21 0.2535 0.3819 0.8264
Bi11 0.1250 0.3750 0.2500
Hg22 0.9445 0.1181 0.8716
Bi12 0.7500 0.1250 0.8750
Hg23 0.7465 0.1284 0.0730
Hg24 0.8819 0.8264 0.7535
Zn8 0.8750 0.7500 0.1250
Bi13 0.6250 0.8750 0.2500
Zn9 0.3750 0.6250 0.2500
Hg25 0.3716 0.9270 0.7535
Bi14 0.8750 0.2500 0.6250
Hg26 0.3716 0.4445 0.1181
Zn10 0.7500 0.3750 0.1250
Hg27 0.1181 0.1736 0.2465
Hg28 0.8716 0.2535 0.4270
Hg29 0.2465 0.5730 0.6284
Hg30 0.9270 0.5555 0.1736
Bi15 0.0000 0.0000 0.5000
Bi16 0.0000 0.5000 0.0000
Zn11 0.2500 0.6250 0.8750
Hg31 0.6181 0.7465 0.6736
Hg32 0.5555 0.6284 0.3819
Hg33 0.6284 0.5555 0.8819
Hg34 0.6284 0.0730 0.2465
Bi17 0.3750 0.1250 0.7500
Hg35 0.8716 0.6181 0.9445
Hg36 0.1284 0.7465 0.5730
Hg37 0.5730 0.3264 0.9445
Bi18 0.0000 0.5000 0.5000
Hg38 0.0555 0.1736 0.4270
Hg39 0.6736 0.4270 0.5555
Hg40 0.7465 0.6181 0.1736
Hg41 0.7535 0.4270 0.3716
Bi19 0.5000 0.0000 0.5000
Hg42 0.3264 0.5730 0.4445
Hg43 0.7535 0.3264 0.8819
Hg44 0.2465 0.6736 0.1181
Hg45 0.2535 0.8716 0.9270
Hg46 0.8264 0.8819 0.2535
Hg47 0.1736 0.0555 0.9270
Hg48 0.5730 0.2465 0.1284
Bi20 0.1250 0.7500 0.3750
Zn12 0.6250 0.3750 0.7500

[8]
First-principles (PBE) data for a geometry-optimized ZnHg2Bi structure, as listed in Alexandria.

Properties
**Uncorrected energy**: -5.0 eV for the cell shown
**Distance to the lowest polymorph of the same formula**: 87 meV/atom
**Energy relative to the elements**: 0.18 eV/atom

Cell lengths 3.2956, 5.6177, 5.6177 Å; angles 90.00, 90.00, 90.00 degrees
Positions (direct):
Bi1 0.5000 0.5000 0.5000
Hg1 0.0000 0.5000 0.0000
Hg2 0.0000 0.0000 0.5000
Zn1 0.5000 0.0000 0.0000

[9]
First-principles (PBE) data for a geometry-optimized ZnHgBi structure, as listed in Alexandria.

Properties
**Uncorrected energy**: -20.5 eV for the cell shown
**Distance to the lowest polymorph of the same formula**: 0 meV/atom
**Energy relative to the elements**: 0.11 eV/atom

Cell lengths 6.8212, 7.1895, 7.1360 Å; angles 66.74, 76.05, 87.44 degrees
Positions (direct):
Zn1 0.4180 0.3977 0.9555
Bi1 0.6575 0.3767 0.2976
Zn2 0.5396 0.0519 0.2069
Hg1 0.8185 0.6102 0.7541
Zn3 0.0680 0.5797 0.0275
Bi2 0.1813 0.3545 0.6617
Zn4 0.9882 0.9543 0.8322
Bi3 0.4169 0.8261 0.6707
Bi4 0.0918 0.1707 0.3304
Hg2 0.3347 0.7357 0.2028
Hg3 0.8648 0.8087 0.2773
Hg4 0.6280 0.1339 0.7832

[10]
First-principles (PBE) data for a geometry-optimized Zn2Hg2Bi structure, as listed in Alexandria.

Properties
**Uncorrected energy**: -12.7 eV for the cell shown
**Distance to the lowest polymorph of the same formula**: 0 meV/atom
**Energy relative to the elements**: 0.14 eV/atom

Cell lengths 8.2498, 8.2498, 3.3801 Å; angles 90.00, 90.00, 90.00 degrees
Positions (direct):
Zn1 0.1643 0.3357 0.0000
Hg1 0.6362 0.8638 0.5000
Zn2 0.6643 0.1643 0.0000
Zn3 0.3357 0.8357 0.0000
Zn4 0.8357 0.6643 0.0000
Bi1 0.0000 0.0000 0.0000
Hg2 0.3638 0.1362 0.5000
Hg3 0.1362 0.6362 0.5000
Hg4 0.8638 0.3638 0.5000
Bi2 0.5000 0.5000 0.0000

[11]
First-principles (PBE) data for a geometry-optimized ZnHg2Bi structure, as listed in Alexandria.

Properties
**Uncorrected energy**: -5.4 eV for the cell shown
**Distance to the lowest polymorph of the same formula**: 0 meV/atom
**Energy relative to the elements**: 0.10 eV/atom

Cell lengths 3.4350, 3.4350, 10.2749 Å; angles 80.38, 80.38, 60.00 degrees
Positions (direct):
Bi1 0.0000 0.0000 0.0000
Hg1 0.1006 0.1006 0.6982
Zn1 0.5000 0.5000 0.5000
Hg2 0.8994 0.8994 0.3018

[12]
First-principles (PBE) data for a geometry-optimized Zn12Hg3Bi5 structure, as listed in Alexandria.

Properties
**Uncorrected energy**: -127.1 eV for the cell shown
**Energy relative to the elements**: 0.19 eV/atom

Cell lengths 13.8818, 13.8818, 13.8818 Å; angles 109.47, 109.47, 109.47 degrees
Positions (direct):
Hg1 0.2500 0.6250 0.8750
Zn1 0.0739 0.4266 0.8342
Zn2 0.5739 0.3342 0.9266
Zn3 0.3527 0.9261 0.7602
Bi1 0.1250 0.7500 0.3750
Zn4 0.0739 0.6473 0.7398
Bi2 0.2500 0.8750 0.1250
Hg2 0.6250 0.3750 0.7500
Zn5 0.5739 0.2398 0.1473
Bi3 0.8750 0.2500 0.6250
Bi4 0.5000 0.5000 0.5000
Zn6 0.4261 0.6658 0.0734
Zn7 0.6658 0.4261 0.5734
Zn8 0.4075 0.2602 0.3342
Zn9 0.8527 0.2602 0.4261
Hg3 0.7500 0.3750 0.1250
Zn10 0.3527 0.4266 0.0925
Zn11 0.6473 0.0739 0.2398
Zn12 0.9266 0.8342 0.5739
Hg4 0.1250 0.8750 0.7500
Zn13 0.2398 0.5739 0.6473
Zn14 0.2398 0.6658 0.0925
Bi5 0.2500 0.3750 0.6250
Zn15 0.8342 0.9266 0.0739
Zn16 0.7398 0.1473 0.0739
Bi6 0.7500 0.1250 0.8750
Zn17 0.7602 0.4261 0.3527
Zn18 0.3342 0.7602 0.4075
Bi7 0.5000 0.5000 0.0000
Zn19 0.8527 0.5925 0.9266
Zn20 0.9266 0.0925 0.8527
Zn21 0.1658 0.0734 0.9261
Bi8 0.0000 0.5000 0.5000
Zn22 0.1658 0.0925 0.7398
Zn23 0.7398 0.5925 0.1658
Zn24 0.6473 0.5734 0.9075
Bi9 0.5000 0.0000 0.0000
Zn25 0.4266 0.3527 0.5925
Hg5 0.3750 0.7500 0.6250
Hg6 0.3750 0.6250 0.2500
Hg7 0.6250 0.2500 0.3750
Zn26 0.1473 0.4075 0.0734
Zn27 0.9261 0.5734 0.1658
Bi10 0.0000 0.0000 0.0000
Zn28 0.0734 0.1658 0.4261
Zn29 0.9075 0.8342 0.7602
Hg8 0.8750 0.1250 0.2500
Bi11 0.5000 0.0000 0.5000
Zn30 0.7602 0.3342 0.9075
Bi12 0.7500 0.6250 0.3750
Bi13 0.3750 0.1250 0.7500
Zn31 0.5734 0.6473 0.4075
Hg9 0.7500 0.8750 0.6250
Zn32 0.3342 0.5739 0.4266
Zn33 0.5925 0.8527 0.4266
Hg10 0.8750 0.7500 0.1250
Zn34 0.5925 0.7398 0.6658
Zn35 0.2602 0.4075 0.8342
Zn36 0.5734 0.9261 0.6658
Zn37 0.1473 0.7398 0.5739
Bi14 0.6250 0.7500 0.8750
Hg11 0.2500 0.1250 0.3750
Bi15 0.8750 0.6250 0.7500
Zn38 0.9075 0.0734 0.6473
Bi16 0.3750 0.2500 0.1250
Zn39 0.0925 0.9266 0.3527
Zn40 0.2602 0.8527 0.9261
Zn41 0.8342 0.9075 0.2602
Bi17 0.0000 0.5000 0.0000
Zn42 0.0925 0.1658 0.2398
Zn43 0.0734 0.9075 0.1473
Bi18 0.1250 0.3750 0.2500
Zn44 0.9261 0.3527 0.2602
Bi19 0.6250 0.8750 0.2500
Bi20 0.0000 0.0000 0.5000
Zn45 0.6658 0.2398 0.5925
Hg12 0.1250 0.2500 0.8750
Zn46 0.4266 0.0739 0.3342
Zn47 0.4075 0.1473 0.5734
Zn48 0.4261 0.7602 0.8527